Entry from the Alexandria database: a geometry-optimized BaCoNi structure (PBE).

Cell: 4.638 4.638 4.638 Å, 60.00 60.00 60.00°
Each line ends with the local moment (μB).
Atoms (fractional coordinates):
1 Ba 0.750 0.750 0.750  -0.09
2 Co 0.000 0.000 0.000  0.99
3 Ni 0.500 0.500 0.500  0.05

Output
ΔE_f   1.45 eV per atom
Total moment   0.79 Bohr magnetons per cell